(1)
The following is a GGA-PBE calculation of LaPu2Hg after structural relaxation, from the Alexandria database.

Its crystal system is tetragonal. The calculation puts the calculated formation energy at -0.0230 eV/atom. Its density is 12260 kg/m³.

a = 5.2373 Å, b = 4.6261 Å, c = 4.6261 Å
α = 90.00°, β = 90.00°, γ = 90.00°
Site moments in Bohr magnetons follow the coordinates.
Atoms (fractional coordinates):
1 Hg 0.5000 0.0000 0.0000  0.02
2 La 0.5000 0.5000 0.5000  0.25
3 Pu 0.0000 0.5000 0.0000  5.72
4 Pu 0.0000 0.0000 0.5000  5.72



(2)
The following is a GGA-PBE calculation of TaBeTe2 after structural relaxation, from the Alexandria database.

Its crystal system is orthorhombic. The calculation puts the uncorrected formation energy at 609 meV/atom. Its density is 8915 kg/m³.

a = 3.3632 Å, b = 3.3632 Å, c = 8.1924 Å
α = 90.00°, β = 90.00°, γ = 116.52°
Atoms (fractional coordinates):
1 Ta 0.5000 0.5000 0.7500
2 Te 0.0000 0.0000 0.0243
3 Be 0.5000 0.5000 0.2500
4 Te 0.0000 0.0000 0.4757



(3)
The following is a GGA-PBE calculation of La2YPt after structural relaxation, from the Alexandria database.

Its crystal system is tetragonal. The calculation puts the calculated formation energy at -0.3319 eV/atom. Its density is 8735 kg/m³.

a = 6.2580 Å, b = 6.2580 Å, c = 6.2580 Å
α = 138.42°, β = 138.42°, γ = 60.25°
Atoms (fractional coordinates):
1 Y 0.7500 0.2500 0.5000
2 La 0.0000 0.0000 0.0000
3 La 0.5000 0.5000 0.0000
4 Pt 0.2500 0.7500 0.5000



(4)
The following is a GGA-PBE calculation of RbCd4Sn4 after structural relaxation, from the Alexandria database.

Its crystal system is tetragonal. The calculation puts the calculated formation energy at -0.0036 eV/atom. Its density is 5796 kg/m³.

a = 6.1543 Å, b = 9.6972 Å, c = 9.6972 Å
α = 90.00°, β = 90.00°, γ = 90.00°
Atoms (fractional coordinates):
1 Sn 0.8693 0.3476 0.1491
2 Cd 0.1306 0.8345 0.6484
3 Cd 0.1306 0.1655 0.3516
4 Cd 0.3694 0.6655 0.8516
5 Sn 0.3693 0.6491 0.1524
6 Sn 0.1307 0.8509 0.3476
7 Sn 0.6307 0.8476 0.6491
8 Cd 0.8694 0.3516 0.8345
9 Rb 0.0000 0.0000 0.0000
10 Cd 0.8694 0.6484 0.1655
11 Cd 0.3694 0.3345 0.1484
12 Cd 0.6306 0.8516 0.3345
13 Sn 0.3693 0.3509 0.8476
14 Rb 0.5000 0.5000 0.5000
15 Sn 0.8693 0.6524 0.8509
16 Sn 0.6307 0.1524 0.3509
17 Cd 0.6306 0.1484 0.6655
18 Sn 0.1307 0.1491 0.6524



(5)
The following is a GGA-PBE calculation of NbPI2O after structural relaxation, from the Alexandria database.

Its crystal system is tetragonal. The calculation puts the uncorrected formation energy at 298 meV/atom. Its density is 5952 kg/m³.

a = 5.6003 Å, b = 5.6003 Å, c = 3.5023 Å
α = 90.00°, β = 90.00°, γ = 90.00°
Site moments in Bohr magnetons follow the coordinates.
Atoms (fractional coordinates):
1 O 0.0000 0.0000 0.5000  0.01
2 I 0.5000 0.0000 0.0000  -0.05
3 P 0.0000 0.0000 0.0000  0.00
4 I 0.0000 0.5000 0.0000  -0.05
5 Nb 0.5000 0.5000 0.5000  2.17



(6)
The following is a GGA-PBE calculation of La2TaAlCd after structural relaxation, from the Alexandria database.

Its crystal system is tetragonal. The calculation puts the calculated formation energy at 0.9005 eV/atom. Its density is 6229 kg/m³.

a = 5.7523 Å, b = 4.8192 Å, c = 5.7523 Å
α = 90.00°, β = 90.00°, γ = 90.00°
Site moments in Bohr magnetons follow the coordinates.
Atoms (fractional coordinates):
1 Cd 0.0000 0.5000 0.0000  0.01
2 Ta 0.5000 0.5000 0.5000  1.76
3 La 0.5000 0.0000 0.0000  0.15
4 La 0.0000 0.0000 0.5000  0.16
5 Al 0.0000 0.0000 0.0000  0.02



(7)
The following is a GGA-PBE calculation of BaBe3Si after structural relaxation, from the Alexandria database.

Its crystal system is cubic. The calculation puts the uncorrected formation energy at 651 meV/atom. Its density is 3469 kg/m³.

a = 4.5162 Å, b = 4.5162 Å, c = 4.5162 Å
α = 90.00°, β = 90.00°, γ = 90.00°
Atoms (fractional coordinates):
1 Be 0.0000 0.5000 0.0000
2 Ba 0.5000 0.5000 0.5000
3 Si 0.0000 0.0000 0.0000
4 Be 0.0000 0.0000 0.5000
5 Be 0.5000 0.0000 0.0000



(8)
The following is a GGA-PBE calculation of IrI3Br after structural relaxation, from the Alexandria database.

Its crystal system is cubic. The calculation puts the uncorrected formation energy at 415 meV/atom. Its density is 6794 kg/m³.

a = 5.4238 Å, b = 5.4238 Å, c = 5.4238 Å
α = 90.00°, β = 90.00°, γ = 90.00°
Atoms (fractional coordinates):
1 I 0.5000 0.0000 0.0000
2 Br 0.5000 0.5000 0.5000
3 I 0.0000 0.5000 0.0000
4 Ir 0.0000 0.0000 0.0000
5 I 0.0000 0.0000 0.5000



(9)
The following is a GGA-PBE calculation of PmGa2CoRu after structural relaxation, from the Alexandria database.

Its crystal system is tetragonal. The calculation puts the calculated formation energy at -0.4017 eV/atom. Its density is 8274 kg/m³.

a = 4.2907 Å, b = 4.2907 Å, c = 5.7166 Å
α = 112.04°, β = 112.04°, γ = 90.00°
Atoms (fractional coordinates):
1 Co 0.7500 0.2500 0.5000
2 Pm 0.0000 0.0000 0.0000
3 Ga 0.6342 0.6342 0.2684
4 Ga 0.3658 0.3658 0.7316
5 Ru 0.2500 0.7500 0.5000



(10)
The following is a GGA-PBE calculation of KHoSc4S8 after structural relaxation, from the Alexandria database.

Its crystal system is trigonal. The calculation puts the uncorrected formation energy at -1777 meV/atom. Its density is 3069 kg/m³.

a = 7.7924 Å, b = 7.7924 Å, c = 7.9786 Å
α = 60.77°, β = 60.77°, γ = 60.00°
Atoms (fractional coordinates):
1 S 0.7530 0.2346 0.2594
2 K 0.3674 0.3674 0.8978
3 Ho 0.0042 0.0042 0.9874
4 Sc 0.4836 0.0045 0.5074
5 S 0.2414 0.8002 0.7169
6 S 0.2414 0.2414 0.7169
7 S 0.2286 0.2286 0.3141
8 Sc 0.6266 0.6266 0.1202
9 S 0.7568 0.7568 0.7295
10 S 0.7530 0.7530 0.2594
11 S 0.2346 0.7530 0.2594
12 Sc 0.0045 0.4836 0.5074
13 S 0.8002 0.2414 0.7169
14 Sc 0.0045 0.0045 0.5074



(11)
The following is a GGA-PBE calculation of KNb2PSe10 after structural relaxation, from the Alexandria database.

Its crystal system is monoclinic. The calculation puts the uncorrected formation energy at -586 meV/atom. Its density is 4200 kg/m³.

a = 16.3231 Å, b = 7.7716 Å, c = 13.6818 Å
α = 72.29°, β = 90.00°, γ = 90.00°
Atoms (fractional coordinates):
1 Se 0.5833 0.4329 0.5593
2 Nb 0.4571 0.6856 0.1539
3 Se 0.9751 0.9950 0.2690
4 Se 0.3162 0.7243 0.4488
5 Se 0.5502 0.4320 0.1230
6 Se 0.7103 0.6971 0.6813
7 Nb 0.0437 0.7499 0.9594
8 Se 0.4586 0.9520 0.5248
9 Se 0.2023 0.3527 0.4056
10 Se 0.7977 0.3527 0.9056
11 P 0.1976 0.6165 0.8093
12 Se 0.7037 0.4201 0.3330
13 Se 0.0425 0.4863 0.5829
14 Se 0.0842 0.7911 0.3238
15 Se 0.6838 0.7243 0.9488
16 Se 0.0930 0.5018 0.1368
17 Se 0.5816 0.7351 0.2776
18 Se 0.0994 0.9788 0.0550
19 Nb 0.0112 0.7457 0.6673
20 Nb 0.9888 0.7457 0.1673
21 Se 0.8209 0.7784 0.1450
22 K 0.2567 0.1033 0.2494
23 Se 0.0363 0.0190 0.5011
24 P 0.8024 0.6165 0.3093
25 Se 0.2060 0.7960 0.9101
26 Se 0.4062 0.9213 0.9786
27 P 0.6993 0.5459 0.8495
28 Se 0.4167 0.4329 0.0593
29 K 0.2454 0.1860 0.6685
30 Se 0.9637 0.0190 0.0011
31 Se 0.4667 0.9347 0.2594
32 Se 0.4498 0.4320 0.6230
33 Se 0.9070 0.5018 0.6368
34 Se 0.9006 0.9788 0.5550
35 Se 0.5938 0.9213 0.4786
36 Nb 0.4838 0.6873 0.4464
37 Se 0.0249 0.9950 0.7690
38 Se 0.2963 0.4201 0.8330
39 P 0.3007 0.5459 0.3495
40 Se 0.0704 0.5017 0.8510
41 Se 0.9296 0.5017 0.3510
42 Nb 0.9563 0.7499 0.4594
43 Nb 0.5429 0.6856 0.6539
44 Se 0.4184 0.7351 0.7776
45 Se 0.5414 0.9520 0.0248
46 Se 0.9575 0.4863 0.0829
47 K 0.7433 0.1033 0.7494
48 Se 0.1791 0.7784 0.6450
49 Se 0.5333 0.9347 0.7594
50 Se 0.9158 0.7911 0.8238
51 Se 0.5705 0.4377 0.8480
52 Se 0.2897 0.6971 0.1813
53 Se 0.4295 0.4377 0.3480
54 K 0.7546 0.1860 0.1685
55 Se 0.7940 0.7960 0.4101
56 Nb 0.5162 0.6873 0.9464



Number 2 is which compound? TaBeTe2